# 1
The following is a PBE-GGA calculation of an optimized crystal structure of Rb2SrGeI6, from Alexandria.

Summary:
Raw formation energy   -27.45 kcal/mol of atoms
Volume   45.34 Å³/atom

Geometry as extended XYZ:
```
20
Lattice="8.426 0.000 -0.065 0.000 8.839 0.000 -0.017 0.000 12.176" Properties=species:S:1:pos:R:3 pbc="T T T"
I 2.652 6.274 5.460
I 0.818 4.246 9.261
I 6.856 6.985 11.515
I 5.039 0.174 3.140
I 2.483 6.091 0.577
I 3.369 8.665 8.971
I 5.925 2.748 11.534
I 1.552 1.854 0.596
I 5.757 2.565 6.651
I 1.721 1.672 5.479
I 6.687 7.168 6.632
I 7.591 4.593 2.850
Rb 8.186 0.684 9.104
Rb 0.223 8.155 3.007
Rb 4.427 5.104 9.062
Rb 3.981 3.735 3.049
Sr -0.009 4.420 6.088
Sr 4.213 0.000 -0.032
Ge 0.000 4.420 0.000
Ge 4.204 0.000 6.056
```

# 2
The following is a PBE-GGA calculation of an optimized crystal structure of RbSrGeI5, from Alexandria.

Summary:
Raw formation energy   -25.19 kcal/mol of atoms
Volume   49.80 Å³/atom

Geometry as extended XYZ:
```
16
Lattice="-5.020 -2.728 6.396 -4.962 -3.076 -6.282 11.232 -6.054 0.218" Properties=species:S:1:pos:R:3 pbc="T T T"
I 3.407 -7.281 6.086
I -2.164 -6.455 1.242
I -2.211 -2.317 1.128
I 6.471 -7.763 -3.084
I -2.156 -4.577 -5.755
I 0.426 -7.305 -3.124
I 3.415 -5.403 -0.910
I 0.825 -4.553 3.456
I -5.221 -4.095 3.416
I 3.462 -9.541 -0.796
Ge -2.196 -4.335 3.050
Ge 3.447 -7.523 -2.718
Sr 5.616 -3.027 0.109
Sr 0.000 0.000 0.000
Rb -2.173 -4.474 -2.026
Rb 3.424 -7.384 2.358
```

# 3
The following is a PBE-GGA calculation of an optimized crystal structure of Rb2TaGeI6, from Alexandria.

Summary:
Raw formation energy   -12.67 kcal/mol of atoms
Volume   41.62 Å³/atom

Geometry as extended XYZ:
```
10
Lattice="8.373 0.000 0.000 0.000 8.373 0.000 4.186 4.186 5.938" Properties=species:S:1:pos:R:3 pbc="T T T"
Rb 8.373 4.186 2.969
Rb 4.186 8.373 2.969
I 6.337 6.337 0.000
I 2.035 6.337 0.000
I 2.035 2.035 0.000
I 6.337 2.035 0.000
I 4.186 4.186 3.058
I 8.373 8.373 2.880
Ge 4.186 4.186 0.000
Ta 0.000 0.000 0.000
```

# 4
The following is a PBE-GGA calculation of an optimized crystal structure of RbTbGe2I8, from Alexandria.

Summary:
Raw formation energy   -18.62 kcal/mol of atoms
Volume   47.20 Å³/atom

Geometry as extended XYZ:
```
12
Lattice="7.825 0.384 0.500 0.429 7.326 0.346 0.628 0.475 9.969" Properties=species:S:1:pos:R:3 pbc="T T T"
Ge 4.250 3.796 7.782
Ge 4.633 4.388 3.033
Rb 0.314 0.237 4.985
Tb 0.000 0.000 0.000
I 6.778 2.279 2.661
I 5.696 5.968 0.938
I 7.119 2.569 8.336
I 2.104 5.905 8.154
I 3.186 2.217 9.877
I 1.764 5.615 2.478
I 3.337 2.425 5.628
I 5.545 5.760 5.186
```

# 5
The following is a PBE-GGA calculation of an optimized crystal structure of Rb2TcGeI6, from Alexandria.

Summary:
Raw formation energy   -12.26 kcal/mol of atoms
Volume   40.99 Å³/atom

Geometry as extended XYZ:
```
10
Lattice="-8.005 0.306 -2.343 -2.354 -0.322 8.001 -5.037 5.868 3.107" Properties=species:S:1:pos:R:3 pbc="T T T"
I -6.621 0.152 0.190
I -5.107 2.993 2.971
I -7.823 -0.012 4.273
I -2.536 -0.004 1.385
I -10.289 2.859 5.794
I -3.738 -0.168 5.468
Rb -6.285 2.769 6.969
Rb -9.111 3.083 1.797
Ge -5.180 -0.008 2.829
Tc 0.000 0.000 0.000
```

# 6
The following is a PBE-GGA calculation of an optimized crystal structure of RbGe2TeI, from Alexandria.

Summary:
Raw formation energy   29.26 kcal/mol of atoms
Volume   52.62 Å³/atom

Geometry as extended XYZ:
```
5
Lattice="-0.542 -5.548 3.270 -0.552 -3.146 -5.429 6.416 -0.754 -0.216" Properties=species:S:1:pos:R:3 pbc="T T T"
I 2.661 -4.724 -1.187
Ge 3.208 -0.377 -0.108
Ge -0.271 -2.774 1.635
Rb 0.000 0.000 0.000
Te -0.276 -1.573 -2.714
```

# 7
The following is a PBE-GGA calculation of an optimized crystal structure of Rb2TiGeI6, from Alexandria.

Summary:
Raw formation energy   -18.61 kcal/mol of atoms
Volume   41.05 Å³/atom

Geometry as extended XYZ:
```
10
Lattice="-6.307 5.250 -1.499 -4.281 -6.177 -3.622 -7.690 -1.855 2.646" Properties=species:S:1:pos:R:3 pbc="T T T"
Rb -9.646 1.466 -0.707
Rb -8.633 -4.248 -1.768
Ti -5.294 -0.463 -2.561
I -4.796 -3.270 -3.082
I -5.792 2.344 -2.039
I -11.807 -1.634 -2.473
I -7.895 -0.691 -3.819
I -6.472 -1.147 -0.002
I -2.693 -0.236 -1.303
Ge 0.000 0.000 0.000
```

# 8
The following is a PBE-GGA calculation of an optimized crystal structure of Rb3TlGe2I9, from Alexandria.

Summary:
Raw formation energy   -17.95 kcal/mol of atoms
Volume   45.85 Å³/atom

Geometry as extended XYZ:
```
15
Lattice="-1.160 4.253 7.212 -3.358 -7.698 -0.953 9.245 -4.549 4.170" Properties=species:S:1:pos:R:3 pbc="T T T"
I -0.727 -4.971 5.236
I -0.580 2.127 3.606
I -2.259 -1.722 3.129
I 3.247 -4.705 8.251
I -0.161 -7.050 1.712
I -1.679 -3.849 -0.476
I 1.480 -3.288 2.177
I 5.455 -3.022 5.193
I 4.888 -0.944 8.716
Tl 4.623 -2.275 2.085
Ge -1.086 -4.472 2.463
Ge 5.814 -3.522 7.966
Rb 0.000 0.000 0.000
Rb 0.601 -0.957 5.615
Rb 4.127 -7.036 4.814
```

# 9
The following is a PBE-GGA calculation of an optimized crystal structure of Rb2TlGe2I7, from Alexandria.

Summary:
Raw formation energy   -16.82 kcal/mol of atoms
Volume   44.45 Å³/atom

Geometry as extended XYZ:
```
12
Lattice="5.949 0.041 0.000 0.048 5.949 0.000 2.888 2.884 15.073" Properties=species:S:1:pos:R:3 pbc="T T T"
I 3.047 5.987 2.850
I 5.976 5.969 9.077
I 2.908 2.905 5.995
I 5.838 2.887 12.222
I 5.990 3.039 2.850
I 2.894 5.834 12.222
I 2.998 2.995 0.000
Ge 6.011 6.003 12.030
Ge 2.874 2.870 3.042
Tl 0.000 0.000 0.000
Rb 6.005 5.998 5.367
Rb 2.880 2.876 9.705
```

# 10
The following is a PBE-GGA calculation of an optimized crystal structure of RbTmGeI6, from Alexandria.

Summary:
Raw formation energy   -24.34 kcal/mol of atoms
Volume   48.30 Å³/atom

Geometry as extended XYZ:
```
9
Lattice="-4.080 1.133 -6.565 -6.010 -4.685 -1.722 -5.089 5.048 4.033" Properties=species:S:1:pos:R:3 pbc="T T T"
I -8.403 2.571 -1.895
I -4.049 2.161 -2.964
I -7.405 0.646 1.772
I -3.700 -0.267 0.515
I -5.138 3.997 0.440
I -6.754 -1.066 -2.340
Ge -9.271 0.155 -3.509
Tm -5.909 1.341 -0.745
Rb -15.179 1.496 -4.254
```

# 11
The following is a PBE-GGA calculation of an optimized crystal structure of RbTmGe2I8, from Alexandria.

Summary:
Raw formation energy   -18.46 kcal/mol of atoms
Volume   49.49 Å³/atom

Geometry as extended XYZ:
```
12
Lattice="7.857 0.385 0.126 0.455 7.205 -0.123 0.149 -0.168 10.527" Properties=species:S:1:pos:R:3 pbc="T T T"
I 5.788 5.861 0.107
I 1.571 5.215 8.192
I 2.674 1.562 10.423
I 6.891 2.208 2.338
I 1.790 5.602 1.982
I 3.107 1.920 6.151
I 6.672 1.821 8.548
I 5.355 5.502 4.379
Tm 0.000 0.000 0.000
Ge 4.717 4.242 2.124
Ge 3.745 3.181 8.406
Rb 0.075 -0.084 5.264
```

# 12
The following is a PBE-GGA calculation of an optimized crystal structure of RbVGeI6, from Alexandria.

Summary:
Raw formation energy   -14.45 kcal/mol of atoms
Volume   44.56 Å³/atom

Geometry as extended XYZ:
```
9
Lattice="-5.745 2.713 -4.022 -6.618 1.324 3.316 2.396 7.640 1.730" Properties=species:S:1:pos:R:3 pbc="T T T"
I -8.207 8.836 -0.605
I -4.521 7.570 -0.121
I -7.407 5.471 -2.163
I -6.987 7.651 2.934
I -5.697 4.188 1.131
I -9.447 5.350 1.190
V -7.044 6.511 0.394
Rb -3.350 10.353 -2.292
Ge -2.923 5.165 0.630
```